No. 1
# NaLi2AuO2

A relaxed structure of NaLi2AuO2 (PBE, the Alexandria database).

## Properties
Calculated density ... 5702 kg/m³
Volume ... 154.8 Å³ per cell
Formation energy (no corrections) ... -1.32 eV/atom

a b c (Å): 4.980 9.351 3.325
angles (deg): 90.00 90.00 90.00
Fractional coordinates of all 12 atoms:
Na 0.000 0.000 0.000
Na 0.500 0.500 0.500
Li 0.121 0.265 0.500
Li 0.379 0.765 0.000
Li 0.621 0.235 0.000
Li 0.879 0.735 0.500
Au 0.000 0.500 0.000
Au 0.500 0.000 0.500
O 0.216 0.841 0.500
O 0.284 0.341 0.000
O 0.716 0.659 0.000
O 0.784 0.159 0.500



No. 2
# Na2LiAuO

A relaxed structure of Na2LiAuO (PBE, the Alexandria database).

## Properties
Calculated density ... 5083 kg/m³
Volume ... 86.9 Å³ per cell
Formation energy (no corrections) ... -0.95 eV/atom

a b c (Å): 4.781 4.781 3.800
angles (deg): 90.00 90.00 90.00
Fractional coordinates of all 5 atoms:
Na 0.000 0.500 0.000
Na 0.500 0.000 0.000
Li 0.000 0.000 0.500
Au 0.500 0.500 0.500
O 0.000 0.000 0.000



No. 3
# Na2LiAuO4

A relaxed structure of Na2LiAuO4 (PBE, the Alexandria database).

## Properties
Calculated density ... 5049 kg/m³
Volume ... 103.2 Å³ per cell
Formation energy (no corrections) ... -0.65 eV/atom

a b c (Å): 5.119 5.119 5.119
angles (deg): 109.02 109.02 110.38
Fractional coordinates of all 8 atoms:
Na 0.000 0.500 0.500
Na 0.500 0.000 0.500
Li 0.000 0.000 0.000
Au 0.500 0.500 0.000
O 0.090 0.090 0.686
O 0.405 0.405 0.314
O 0.595 0.910 0.000
O 0.910 0.595 0.000



No. 4
# NaLiAu2O4

A relaxed structure of NaLiAu2O4 (PBE, the Alexandria database).

## Properties
Calculated density ... 7884 kg/m³
Volume ... 102.8 Å³ per cell
Formation energy (no corrections) ... -0.68 eV/atom

a b c (Å): 5.162 5.162 5.162
angles (deg): 115.53 115.53 97.93
Fractional coordinates of all 8 atoms:
Na 0.000 0.000 0.000
Li 0.500 0.500 0.000
Au 0.250 0.750 0.500
Au 0.750 0.250 0.500
O 0.114 0.473 0.000
O 0.473 0.114 0.000
O 0.527 0.527 0.641
O 0.886 0.886 0.359



No. 5
# NaLiPbAu

A relaxed structure of NaLiPbAu (PBE, the Alexandria database).

## Properties
Calculated density ... 8475 kg/m³
ΔH_f (0 K) ... -1.215 eV/f.u.
Volume ... 85.1 Å³ per cell

a b c (Å): 4.936 4.936 4.936
angles (deg): 60.00 60.00 60.00
Fractional coordinates of all 4 atoms:
Na 0.000 0.000 0.000
Li 0.250 0.250 0.250
Pb 0.500 0.500 0.500
Au 0.750 0.750 0.750



No. 6
# NaLiPdAu

A relaxed structure of NaLiPdAu (PBE, the Alexandria database).

## Properties
Calculated density ... 7972 kg/m³
ΔH_f (0 K) ... -1.222 eV/f.u.
Volume ... 69.4 Å³ per cell

a b c (Å): 4.613 4.613 4.613
angles (deg): 60.00 60.00 60.00
Fractional coordinates of all 4 atoms:
Na 0.000 0.000 0.000
Li 0.250 0.250 0.250
Pd 0.750 0.750 0.750
Au 0.500 0.500 0.500



No. 7
# NaLiPmAu

A relaxed structure of NaLiPmAu (PBE, the Alexandria database).

## Properties
Calculated density ... 6585 kg/m³
ΔH_f (0 K) ... -0.915 eV/f.u.
Volume ... 93.8 Å³ per cell

a b c (Å): 5.100 5.100 5.100
angles (deg): 60.00 60.00 60.00
Fractional coordinates of all 4 atoms:
Na 0.000 0.000 0.000
Li 0.250 0.250 0.250
Pm 0.500 0.500 0.500
Au 0.750 0.750 0.750



No. 8
# NaLiPm2Au4

A relaxed structure of NaLiPm2Au4 (PBE, the Alexandria database).

## Properties
Calculated density ... 10271 kg/m³
ΔH_f (0 K) ... -5.053 eV/f.u.
Volume ... 179.1 Å³ per cell

a b c (Å): 8.614 8.614 8.614
angles (deg): 34.10 34.10 34.10
Fractional coordinates of all 8 atoms:
Na 0.000 0.000 0.000
Li 0.500 0.500 0.500
Pm 0.250 0.250 0.250
Pm 0.750 0.750 0.750
Au 0.126 0.126 0.126
Au 0.380 0.380 0.380
Au 0.620 0.620 0.620
Au 0.874 0.874 0.874